Entry from Alexandria: a relaxed structure of TeI4 (GGA-PBE).

Cell lengths 8.2456, 8.2456, 6.6708 Å; angles 101.11, 101.11, 30.47 degrees
Last column: nearest neighbours and their distance in Å.
Positions (direct):
Te 0.0000 0.0000 0.0000  6 I 2.95-3.05
I 0.1485 0.1485 0.3441  1 Te 2.95
I 0.4149 0.4149 0.2114  2 Te 3.05
I 0.5851 0.5851 0.7886  2 Te 3.05
I 0.8515 0.8515 0.6559  1 Te 2.95

Output
ΔE_f (raw): -29.9 meV/atom
Distance to the lowest polymorph of the same formula: 74 meV per atom
Space group: C2/m
Magnetization: 0.00 μB per formula unit


Entry from Alexandria: a relaxed structure of TeI2 (GGA-PBE).

Cell lengths 4.5907, 4.5907, 5.9824 Å; angles 90.00, 90.00, 90.00 degrees
Last column: nearest neighbours and their distance in Å.
Positions (direct):
Te 0.0000 0.0000 0.0000  6 I 2.99-3.25
I 0.0000 0.0000 0.5000  2 Te 2.99
I 0.5000 0.5000 0.0000  4 Te 3.25

Output
ΔE_f (raw): 22.5 meV/atom
Distance to the lowest polymorph of the same formula: 74 meV per atom
Space group: P4/mmm
Magnetization: 0.00 μB per formula unit


Entry from Alexandria: a relaxed structure of TeI (GGA-PBE).

Cell lengths 5.8819, 7.8690, 8.9312 Å; angles 102.52, 107.72, 95.56 degrees
Last column: nearest neighbours and their distance in Å.
Positions (direct):
Te 0.0000 0.0000 0.0000  1 Te 2.67
Te 0.0169 0.5562 0.6714  1 Te 2.80, 2 I 2.94-3.01
Te 0.6941 0.8250 0.1057  1 Te 2.67, 1 I 2.99
Te 0.7895 0.8449 0.6165  1 Te 2.80, 1 I 2.91
I 0.2174 0.1140 0.7054  1 Te 2.91
I 0.2778 0.5926 0.4439  2 Te 2.94-3.17
I 0.5001 0.1155 0.2777  2 Te 2.99-3.11
I 0.7739 0.4706 0.9045  2 Te 3.01-3.13

Output
ΔE_f (raw): 2.7 meV/atom
Distance to the lowest polymorph of the same formula: 75 meV per atom
Space group: P1
Magnetization: 0.00 μB per formula unit